! Pr2CrInO6 | Alexandria via LeMat-Bulk | GGA+U | relaxed; values from VASP
&SYSTEM
  ibrav = 0, nat = 20, ntyp = 4
/
ATOMIC_SPECIES
Pr 140.91 Pr.upf
O 16.00 O.upf
In 114.82 In.upf
Cr 52.00 Cr.upf
ATOMIC_POSITIONS crystal
Pr 0.5168 0.5577 0.7503
Pr 0.0168 0.9423 0.2503
Pr 0.4832 0.4423 0.2497
Pr 0.9832 0.0577 0.7497
O 0.2913 0.6932 0.0542
O 0.3102 0.7106 0.4416
O 0.7913 0.8068 0.5542
O 0.8102 0.7894 0.9416
O 0.6062 0.0380 0.2599
O 0.8938 0.5380 0.2401
O 0.2087 0.1932 0.4458
O 0.1062 0.4620 0.7599
O 0.3938 0.9620 0.7401
O 0.1898 0.2106 0.0584
O 0.6898 0.2894 0.5584
O 0.7087 0.3068 0.9458
In 0.5000 0.0000 0.0000
In 0.0000 0.5000 0.5000
Cr 0.5000 0.0000 0.5000
Cr 0.0000 0.5000 0.0000
CELL_PARAMETERS angstrom
5.6103 0.0000 -0.0328
0.0000 5.8441 0.0000
0.0014 0.0000 8.0630
! - energy (eV/atom) = -7.52
! - Fermi-level density of states (states/eV/atom) = 0.0000